(1)
This record from the Alexandria database describes an optimized crystal structure of LaGa9Cu2. The functional is PBE.

a b c (Å): 10.8618 10.8618 7.3666
angles (deg): 90.00 90.00 90.00
Space group I4_1/amd (No. 141, origin choice 2)
Asymmetric unit:
La: 0.0000 0.2500 0.3750
Ga: 0.0000 0.2500 0.8750
Ga: 0.1222 0.0517 0.6784
Cu: 0.0000 0.0000 0.0000

Output
The calculation puts the energy of formation at -182 meV/atom.

=====

(2)
This record from the Alexandria database describes an optimized crystal structure of HgBr3Cl. The functional is PBE.

a b c (Å): 5.3598 5.3598 5.3598
angles (deg): 90.00 90.00 90.00
Space group Pm-3m (No. 221)
Asymmetric unit:
Hg: 0.0000 0.0000 0.0000
Br: 0.0000 0.5000 0.5000
Cl: 0.5000 0.5000 0.5000

Output
Its formation energy from raw total energies is 0.314 eV/atom. For the offset from the most stable computed form, the calculation gives 0.0898 eV/atom.

=====

(3)
This record from the Alexandria database describes an optimized crystal structure of PmSm3Bi2. The functional is PBE.

a b c (Å): 4.6257 4.6257 8.9045
angles (deg): 90.00 90.00 90.00
Space group P-4m2 (No. 115)
Asymmetric unit:
Pm: 0.0000 0.0000 0.0000
Sm: 0.0000 0.5000 0.3518
Sm: 0.5000 0.5000 0.0000
Bi: 0.0000 0.5000 0.7176

Output
For the offset from the most stable computed form, the calculation gives 0.0000 eV/atom. The calculation puts the energy of formation at -638 meV/atom.

=====

(4)
This record from the Alexandria database describes an optimized crystal structure of SmU3Se8. The functional is PBE.

a b c (Å): 8.3379 8.3379 12.9024
angles (deg): 90.00 90.00 120.00
Space group P6_3mc (No. 186)
Asymmetric unit:
Sm: 0.3333 0.6667 0.0000
U: 0.1678 0.3356 0.7295
Se: 0.0000 0.0000 0.3429
Se: 0.0231 0.5116 0.8510
Se: 0.1575 0.3150 0.1116
Se: 0.3333 0.6667 0.6117

Output
Its formation energy from raw total energies is -1.227 eV/atom.

=====

(5)
This record from the Alexandria database describes an optimized crystal structure of Ba2ScCuO5. The functional is PBE.

a b c (Å): 3.5099 15.7282 10.2834
angles (deg): 90.00 90.00 90.00
Space group Cmc2_1 (No. 36)
Asymmetric unit:
Ba: 0.0000 0.1150 0.0000
Ba: 0.0000 0.1185 0.6217
Sc: 0.0000 0.2106 0.2979
Cu: 0.0000 0.4330 0.7921
O: 0.0000 0.0476 0.3394
O: 0.0000 0.2958 0.6643
O: 0.0000 0.3317 0.3208
O: 0.0000 0.3341 0.9164
O: 0.0000 0.4906 0.6350

Output
Its formation energy from raw total energies is -2.206 eV/atom.

=====

(6)
This record from the Alexandria database describes an optimized crystal structure of Hf2MoPb. The functional is PBE.

a b c (Å): 7.8627 7.8627 5.8277
angles (deg): 90.00 90.00 90.00
Space group I-42d (No. 122)
Asymmetric unit:
Hf: 0.2052 0.2500 0.1250
Mo: 0.0000 0.0000 0.0000
Pb: 0.0000 0.0000 0.5000

Output
The calculation puts the energy of formation at 584 meV/atom.

=====

(7)
This record from the Alexandria database describes an optimized crystal structure of Ce3MgGa5. The functional is PBE.

a b c (Å): 8.6699 8.6699 6.1831
angles (deg): 90.00 90.00 120.00
Space group P6_3/mcm (No. 193)
Asymmetric unit:
Ce: 0.0000 0.3611 0.2500
Mg: 0.0000 0.0000 0.0000
Ga: 0.0000 0.3055 0.7500
Ga: 0.3333 0.6667 0.0000

Output
The calculation puts the energy of formation at -444 meV/atom.

=====

(8)
This record from the Alexandria database describes an optimized crystal structure of Ce2Ge2Ru2C. The functional is PBE.

a b c (Å): 11.2748 4.1567 7.1253
angles (deg): 90.00 128.87 90.00
Space group C2/m (No. 12)
Asymmetric unit:
Ce: 0.0578 0.0000 0.2908
Ge: 0.1622 0.5000 0.6980
Ru: 0.1955 0.5000 0.0836
C: 0.0000 0.5000 0.0000

Output
The calculation puts the energy of formation at -611 meV/atom.

=====

| no. | ρ (Mg/m³) |
| --- | --- |
| 1 | 6.83 |
| 2 | 5.13 |
| 3 | 8.84 |
| 4 | 6.40 |
| 5 | 5.42 |
| 6 | 12.17 |
| 7 | 6.55 |
| 8 | 8.17 |